(1)
12
Lattice="3.8879 0.0000 0.0000 0.3396 5.2982 0.0000 0.0012 0.0063 7.4545" Properties=species:S:1:pos:R:3 comment="SrCa2MgH8, relaxed, DFT GGA-PBE" space_group="P-1, No. 2" final_energy_ev_per_atom=-3.254 crystal_system=triclinic vol_a3_per_cell=153.6 pbc="T T T"
Sr 0.0000 0.0000 0.0000
Ca 2.1138 2.6495 1.9952
Ca 2.1149 2.6550 5.4593
Mg 0.0006 0.0032 3.7272
H 0.1863 1.2997 2.0855
H 0.1871 1.3094 5.3709
H 2.0155 4.0979 3.7249
H 1.9727 1.4292 0.0009
H 2.2561 3.8754 7.4536
H 2.2132 1.2066 3.7296
H 4.0417 3.9951 2.0836
H 4.0424 4.0048 5.3690

=====

(2)
5
Lattice="5.4811 0.0000 0.0000 0.0000 5.4811 0.0000 0.0000 0.0000 5.2210" Properties=species:S:1:pos:R:3 comment="Sr2CaMgH, relaxed, DFT GGA-PBE" space_group="P4/mmm, No. 123" final_energy_ev_per_atom=-2.200 crystal_system=tetragonal vol_a3_per_cell=156.9 polymorph_energy_mev_per_atom=0.0 pbc="T T T"
Sr 0.0000 2.7406 0.0000
Sr 2.7406 0.0000 0.0000
Ca 0.0000 0.0000 2.6105
Mg 2.7406 2.7406 2.6105
H 0.0000 0.0000 0.0000

=====

(3)
8
Lattice="4.1701 0.0000 0.0000 0.0000 4.1701 0.0000 0.0000 0.0000 9.8844" Properties=species:S:1:pos:R:3 comment="CaMgTlH, relaxed, DFT GGA-PBE" space_group="P4/nmm, No. 129" final_energy_ev_per_atom=-2.607 crystal_system=tetragonal vol_a3_per_cell=171.9 pbc="T T T"
Ca 1.0425 1.0425 1.0691
Ca 3.1276 3.1276 8.8154
Mg 1.0425 3.1276 4.9422
Mg 3.1276 1.0425 4.9422
Tl 1.0425 1.0425 7.1648
Tl 3.1276 3.1276 2.7197
H 1.0425 3.1276 0.0000
H 3.1276 1.0425 0.0000

=====

(4)
8
Lattice="0.0000 3.9851 3.9851 3.9851 0.0000 3.9851 3.9851 3.9851 0.0000" Properties=species:S:1:pos:R:3 comment="CaMn2H, relaxed, DFT GGA-PBE" space_group="Fd-3m, No. 227" final_energy_ev_per_atom=-5.691 crystal_system=cubic vol_a3_per_cell=126.6 polymorph_energy_mev_per_atom=0.0 pbc="T T T"
Ca 0.9963 0.9963 0.9963
Ca 6.9738 6.9738 6.9738
Mn 3.9851 1.9925 1.9925
Mn 1.9925 3.9851 1.9925
Mn 1.9925 1.9925 3.9851
Mn 3.9851 3.9851 3.9851
H 2.9888 2.9888 2.9888
H 4.9813 4.9813 4.9813